(1)
Compound: TcAg2AsRh
Source: Alexandria
Functional: PBE
Structure: optimized geometry

Computed properties:
**Density of states at the Fermi level**: 0.9946 states/eV per atom
**SG**: P4/mmm
**Volume**: 21.1 Å³ per atom
**Formation energy**: 1.014 eV/atom

The structure in CIF format:
```
data_TcAg2AsRh
_symmetry_space_group_name_H-M 'P 1'
_symmetry_Int_Tables_number 1
_cell_length_a 4.801
_cell_length_b 4.801
_cell_length_c 4.579
_cell_angle_alpha 90.00
_cell_angle_beta 90.00
_cell_angle_gamma 90.00
loop_
_symmetry_equiv_pos_as_xyz
'x,y,z'
loop_
_atom_site_label
_atom_site_type_symbol
_atom_site_fract_x
_atom_site_fract_y
_atom_site_fract_z
_atom_site_occupancy
Tc1 Tc 0.000 0.000 0.000 1
Ag1 Ag 0.000 0.500 0.500 1
Ag2 Ag 0.500 0.000 0.500 1
As1 As 0.500 0.500 0.500 1
Rh1 Rh 0.500 0.500 0.000 1
```

***

(2)
Compound: Nd5Ru3
Source: Alexandria
Functional: PBE
Structure: optimized geometry

Computed properties:
**Density of states at the Fermi level**: 0.6407 states/eV per atom
**SG**: P4/ncc
**Volume**: 25.6 Å³ per atom
**Formation energy**: -0.193 eV/atom

The structure in CIF format:
```
data_Nd5Ru3
_symmetry_space_group_name_H-M 'P 1'
_symmetry_Int_Tables_number 1
_cell_length_a 11.157
_cell_length_b 11.157
_cell_length_c 6.589
_cell_angle_alpha 90.00
_cell_angle_beta 90.00
_cell_angle_gamma 90.00
loop_
_symmetry_equiv_pos_as_xyz
'x,y,z'
loop_
_atom_site_label
_atom_site_type_symbol
_atom_site_fract_x
_atom_site_fract_y
_atom_site_fract_z
_atom_site_occupancy
Nd1 Nd 0.043 0.161 0.118 1
Nd2 Nd 0.043 0.339 0.618 1
Nd3 Nd 0.161 0.043 0.618 1
Nd4 Nd 0.161 0.457 0.118 1
Nd5 Nd 0.250 0.750 0.000 1
Nd6 Nd 0.250 0.750 0.500 1
Nd7 Nd 0.339 0.043 0.118 1
Nd8 Nd 0.339 0.457 0.618 1
Nd9 Nd 0.457 0.161 0.618 1
Nd10 Nd 0.457 0.339 0.118 1
Nd11 Nd 0.543 0.661 0.882 1
Nd12 Nd 0.543 0.839 0.382 1
Nd13 Nd 0.661 0.543 0.382 1
Nd14 Nd 0.661 0.957 0.882 1
Nd15 Nd 0.750 0.250 0.000 1
Nd16 Nd 0.750 0.250 0.500 1
Nd17 Nd 0.839 0.543 0.882 1
Nd18 Nd 0.839 0.957 0.382 1
Nd19 Nd 0.957 0.661 0.382 1
Nd20 Nd 0.957 0.839 0.882 1
Ru1 Ru 0.098 0.598 0.750 1
Ru2 Ru 0.098 0.902 0.250 1
Ru3 Ru 0.250 0.250 0.376 1
Ru4 Ru 0.250 0.250 0.876 1
Ru5 Ru 0.402 0.598 0.250 1
Ru6 Ru 0.402 0.902 0.750 1
Ru7 Ru 0.598 0.098 0.250 1
Ru8 Ru 0.598 0.402 0.750 1
Ru9 Ru 0.750 0.750 0.124 1
Ru10 Ru 0.750 0.750 0.624 1
Ru11 Ru 0.902 0.098 0.750 1
Ru12 Ru 0.902 0.402 0.250 1
```

***

(3)
Compound: IrOsN2F
Source: Alexandria
Functional: PBE
Structure: optimized geometry

Computed properties:
**Density of states at the Fermi level**: 0.8651 states/eV per atom
**SG**: P4/mmm
**Offset from the most stable computed form**: 375 meV/atom
**Volume**: 12.6 Å³ per atom
**Uncorrected formation energy**: 1583 meV per atom

The structure in CIF format:
```
data_IrOsN2F
_symmetry_space_group_name_H-M 'P 1'
_symmetry_Int_Tables_number 1
_cell_length_a 3.880
_cell_length_b 3.880
_cell_length_c 4.182
_cell_angle_alpha 90.00
_cell_angle_beta 90.00
_cell_angle_gamma 90.00
loop_
_symmetry_equiv_pos_as_xyz
'x,y,z'
loop_
_atom_site_label
_atom_site_type_symbol
_atom_site_fract_x
_atom_site_fract_y
_atom_site_fract_z
_atom_site_occupancy
Ir1 Ir 0.000 0.000 0.000 1
Os1 Os 0.500 0.500 0.500 1
N1 N 0.000 0.500 0.000 1
N2 N 0.500 0.000 0.000 1
F1 F 0.000 0.000 0.500 1
```

***

(4)
Compound: SrReC2Cl
Source: Alexandria
Functional: PBE
Structure: optimized geometry

Computed properties:
**Density of states at the Fermi level**: 0.5206 states/eV per atom
**SG**: P4/mmm
**Volume**: 17.3 Å³ per atom
**Uncorrected formation energy**: 323 meV per atom

The structure in CIF format:
```
data_SrReC2Cl
_symmetry_space_group_name_H-M 'P 1'
_symmetry_Int_Tables_number 1
_cell_length_a 4.059
_cell_length_b 4.059
_cell_length_c 5.239
_cell_angle_alpha 90.00
_cell_angle_beta 90.00
_cell_angle_gamma 90.00
loop_
_symmetry_equiv_pos_as_xyz
'x,y,z'
loop_
_atom_site_label
_atom_site_type_symbol
_atom_site_fract_x
_atom_site_fract_y
_atom_site_fract_z
_atom_site_occupancy
Sr1 Sr 0.000 0.000 0.000 1
Re1 Re 0.500 0.500 0.500 1
C1 C 0.000 0.500 0.500 1
C2 C 0.500 0.000 0.500 1
Cl1 Cl 0.500 0.500 0.000 1
```